SrNb2Pt | PBE | relaxed

Cell and atoms, written as CIF:
```
data_SrNb2Pt
_cell_length_a 4.7784
_cell_length_b 4.7784
_cell_length_c 4.7784
_cell_angle_alpha 60.00
_cell_angle_beta 60.00
_cell_angle_gamma 60.00
_space_group_name_H-M_alt 'P 1'
_space_group_IT_number 1
loop_
_space_group_symop_operation_xyz
'x,y,z'
loop_
_atom_site_label
_atom_site_fract_x
_atom_site_fract_y
_atom_site_fract_z
Sr1 0.0000 0.0000 0.0000
Nb1 0.2500 0.2500 0.2500
Nb2 0.7500 0.7500 0.7500
Pt1 0.5000 0.5000 0.5000
```

Properties
**DFT formation energy**: 49 kJ per mole of atoms
**Space-group type**: Fm-3m
**Calculated volume**: 77.2 Å³ per cell
**Total moment**: 0.0000 μB/atom
**Density**: 10.084 g/cm³